Model 1:
The following is a DFT calculation (PBE) of crystalline CsCd2Au4 at its relaxed geometry.

a b c (Å): 6.045 6.045 6.045
angles (deg): 103.57 103.57 122.04
Element x y z (fractional)
Cs  0.000  0.000  0.000
Cd  0.250  0.750  0.500
Cd  0.750  0.250  0.500
Au  0.309  0.309  0.618
Au  0.309  0.691  0.000
Au  0.691  0.309  0.000
Au  0.691  0.691  0.382

The calculation puts the density of states at the Fermi level at 3.0 states/eV per cell. The space-group type is I4/mmm (139). Its magnetic moment is 0.0 μB per cell.

***

Model 2:
The following is a DFT calculation (PBE) of crystalline CsCd2Au4 at its relaxed geometry.

a b c (Å): 7.686 7.686 7.686
angles (deg): 107.90 107.90 112.66
Element x y z (fractional)
Cs  0.250  0.250  0.000
Cs  0.750  0.750  0.000
Cd  0.144  0.644  0.789
Cd  0.356  0.144  0.500
Cd  0.644  0.856  0.500
Cd  0.856  0.356  0.211
Au  0.015  0.814  0.500
Au  0.186  0.686  0.201
Au  0.314  0.515  0.500
Au  0.485  0.985  0.799
Au  0.515  0.015  0.201
Au  0.686  0.485  0.500
Au  0.814  0.314  0.799
Au  0.985  0.186  0.500

The calculation puts the density of states at the Fermi level at 3.8 states/eV per cell. The space-group type is I4/mcm (140). Its magnetic moment is 0.0 μB per cell.

***

Energies in meV/atom, measured from the most stable structure: model 1 113; model 2 0.

***

Model 1:
The following is a DFT calculation (PBE) of crystalline CsCd2Au at its relaxed geometry.

a b c (Å): 10.118 10.118 10.118
angles (deg): 145.14 145.14 50.13
Element x y z (fractional)
Cs  0.000  0.000  0.000
Cs  0.750  0.250  0.500
Cd  0.372  0.625  0.247
Cd  0.375  0.622  0.747
Cd  0.378  0.125  0.753
Cd  0.875  0.628  0.253
Au  0.250  0.750  0.500
Au  0.500  0.500  0.000

The calculation puts the density of states at the Fermi level at 1.2 states/eV per cell. The space-group type is I-42d (122). Its magnetic moment is 0.0 μB per cell.

***

Model 2:
The following is a DFT calculation (PBE) of crystalline CsCd2Au at its relaxed geometry.

a b c (Å): 5.690 5.690 5.690
angles (deg): 60.00 60.00 60.00
Element x y z (fractional)
Cs  0.000  0.000  0.000
Cd  0.250  0.250  0.250
Cd  0.750  0.750  0.750
Au  0.500  0.500  0.500

The calculation puts the density of states at the Fermi level at 1.3 states/eV per cell. The space-group type is Fm-3m (225). Its magnetic moment is 0.0 μB per cell.

***

Energies in meV/atom, measured from the most stable structure: model 1 0; model 2 190.